Here is SmDyEr5 after structural relaxation from the Alexandria database. Energies are from PBE.

## Properties
ΔH_f (0 K) = 1007 meV/atom
E above lowest polymorph = 0.808 eV per atom
Density of states at the Fermi level = 1.3718 states/eV per atom

```
data_SmDyEr5
_chemical_formula_sum 'Sm2 Dy2 Er10'
_cell_length_a 7.970
_cell_length_b 11.643
_cell_length_c 6.124
_cell_angle_alpha 90.00
_cell_angle_beta 90.00
_cell_angle_gamma 90.00
_space_group_name_H-M_alt 'I m m 2'
_space_group_IT_number 44
loop_
_space_group_symop_operation_xyz
'x,y,z'
'-x,-y,z'
'-x,y,z'
'x,-y,z'
'x+1/2,y+1/2,z+1/2'
'-x+1/2,-y+1/2,z+1/2'
'-x+1/2,y+1/2,z+1/2'
'x+1/2,-y+1/2,z+1/2'
loop_
_atom_site_label
_atom_site_type_symbol
_atom_site_fract_x
_atom_site_fract_y
_atom_site_fract_z
Sm1 Sm 0.000 0.000 0.000
Dy1 Dy 0.000 0.500 0.739
Er1 Er 0.000 0.000 0.474
Er2 Er 0.000 0.244 0.733
Er3 Er 0.179 0.500 0.237
```

***

Here is Ac2InAs3Rh4 after structural relaxation from the Alexandria database. Energies are from PBE.

## Properties
ΔH_f (0 K) = -824 meV/atom
Density of states at the Fermi level = 0.7661 states/eV per atom

```
data_Ac2InAs3Rh4
_chemical_formula_sum 'Ac2 In1 As3 Rh4'
_cell_length_a 4.346
_cell_length_b 4.346
_cell_length_c 10.803
_cell_angle_alpha 90.00
_cell_angle_beta 90.00
_cell_angle_gamma 90.00
_space_group_name_H-M_alt 'P -4 m 2'
_space_group_IT_number 115
loop_
_space_group_symop_operation_xyz
'x,y,z'
'y,-x,-z'
'-x,-y,z'
'-y,x,-z'
'-x,y,z'
'-y,-x,-z'
'x,-y,z'
'y,x,-z'
loop_
_atom_site_label
_atom_site_type_symbol
_atom_site_fract_x
_atom_site_fract_y
_atom_site_fract_z
Ac1 Ac 0.000 0.500 0.244
In1 In 0.000 0.000 0.500
As1 As 0.000 0.500 0.875
As2 As 0.500 0.500 0.500
Rh1 Rh 0.000 0.000 0.000
Rh2 Rh 0.000 0.500 0.646
Rh3 Rh 0.500 0.500 0.000
```

***

Here is Be4CoCu3 after structural relaxation from the Alexandria database. Energies are from PBE.

## Properties
ΔH_f (0 K) = -172 meV/atom
Density of states at the Fermi level = 0.3683 states/eV per atom

```
data_Be4CoCu3
_chemical_formula_sum 'Be4 Co1 Cu3'
_cell_length_a 2.662
_cell_length_b 2.662
_cell_length_c 10.718
_cell_angle_alpha 90.00
_cell_angle_beta 90.00
_cell_angle_gamma 90.00
_space_group_name_H-M_alt 'P 4/m m m'
_space_group_IT_number 123
_space_group_name_Hall '-P 4 2'
loop_
_atom_site_label
_atom_site_type_symbol
_atom_site_fract_x
_atom_site_fract_y
_atom_site_fract_z
Be1 Be 0.000 0.000 0.111
Be2 Be 0.000 0.000 0.376
Co1 Co 0.500 0.500 0.000
Cu1 Cu 0.500 0.500 0.244
Cu2 Cu 0.500 0.500 0.500
```

***

Here is LaTb6Nd3Tm2 after structural relaxation from the Alexandria database. Energies are from PBE.

## Properties
ΔH_f (0 K) = 20 meV/atom
Density of states at the Fermi level = 1.3213 states/eV per atom

```
data_LaTb6Nd3Tm2
_chemical_formula_sum 'La2 Tb12 Nd6 Tm4'
_cell_length_a 6.229
_cell_length_b 10.786
_cell_length_c 11.924
_cell_angle_alpha 90.00
_cell_angle_beta 100.00
_cell_angle_gamma 90.00
_space_group_name_H-M_alt 'C 1 2/m 1'
_space_group_IT_number 12
loop_
_space_group_symop_operation_xyz
'x,y,z'
'-x,-y,-z'
'-x,y,-z'
'x,-y,z'
'x+1/2,y+1/2,z'
'-x+1/2,-y+1/2,-z'
'-x+1/2,y+1/2,-z'
'x+1/2,-y+1/2,z'
loop_
_atom_site_label
_atom_site_type_symbol
_atom_site_fract_x
_atom_site_fract_y
_atom_site_fract_z
La1 La 0.000 0.000 0.000
Tb1 Tb 0.248 0.500 0.248
Tb2 Tb 0.250 0.167 0.248
Nd1 Nd 0.000 0.167 0.500
Nd2 Nd 0.000 0.500 0.500
Tm1 Tm 0.000 0.333 0.000
```

***

Here is ZrTlMo2 after structural relaxation from the Alexandria database. Energies are from PBE.

## Properties
ΔH_f (0 K) = 398 meV/atom
E above lowest polymorph = 0.254 eV per atom
Density of states at the Fermi level = 1.0133 states/eV per atom

```
data_ZrTlMo2
_chemical_formula_sum 'Zr1 Tl1 Mo2'
_cell_length_a 3.503
_cell_length_b 3.503
_cell_length_c 6.201
_cell_angle_alpha 90.00
_cell_angle_beta 90.00
_cell_angle_gamma 90.00
_space_group_name_H-M_alt 'P 4/m m m'
_space_group_IT_number 123
_space_group_name_Hall '-P 4 2'
loop_
_atom_site_label
_atom_site_type_symbol
_atom_site_fract_x
_atom_site_fract_y
_atom_site_fract_z
Zr1 Zr 0.000 0.000 0.000
Tl1 Tl 0.000 0.000 0.500
Mo1 Mo 0.500 0.500 0.228
```

***

Here is Cs2PuNiCl6 after structural relaxation from the Alexandria database. Energies are from PBE.

## Properties
Formation energy from raw total energies = -1600 meV per atom
Density of states at the Fermi level = 1.5760 states/eV per atom

```
data_Cs2PuNiCl6
_chemical_formula_sum 'Cs2 Pu1 Ni1 Cl6'
_cell_length_a 7.5739
_cell_length_b 7.5739
_cell_length_c 6.4000
_cell_angle_alpha 90.00
_cell_angle_beta 90.00
_cell_angle_gamma 120.00
_space_group_name_H-M_alt 'P -3 m 1'
_space_group_IT_number 164
_space_group_name_Hall '-P 3 2"'
loop_
_atom_site_label
_atom_site_type_symbol
_atom_site_fract_x
_atom_site_fract_y
_atom_site_fract_z
Cs1 Cs 0.3333 0.6667 0.2201
Pu1 Pu 0.0000 0.0000 0.5000
Ni1 Ni 0.0000 0.0000 0.0000
Cl1 Cl 0.1590 0.3181 0.7721
```

***

Here is GaReB after structural relaxation from the Alexandria database. Energies are from PBE.

## Properties
ΔH_f (0 K) = 492 meV/atom
Density of states at the Fermi level = 0.3441 states/eV per atom

```
data_GaReB
_chemical_formula_sum 'Ga4 Re4 B4'
_cell_length_a 6.382
_cell_length_b 5.079
_cell_length_c 5.257
_cell_angle_alpha 90.00
_cell_angle_beta 107.32
_cell_angle_gamma 90.00
_space_group_name_H-M_alt 'C 1 2/m 1'
_space_group_IT_number 12
loop_
_space_group_symop_operation_xyz
'x,y,z'
'-x,-y,-z'
'-x,y,-z'
'x,-y,z'
'x+1/2,y+1/2,z'
'-x+1/2,-y+1/2,-z'
'-x+1/2,y+1/2,-z'
'x+1/2,-y+1/2,z'
loop_
_atom_site_label
_atom_site_type_symbol
_atom_site_fract_x
_atom_site_fract_y
_atom_site_fract_z
Ga1 Ga 0.112 0.000 0.329
Re1 Re 0.007 0.500 0.752
B1 B 0.250 0.250 0.000
```

***

Record order is preserved below.
Final energy: -0.2634 -0.4598 -0.3278 -0.3413 -0.5694 -0.3594 -0.5066 Ry per atom
Record order is preserved below.
Total magnetic moment: 0.0 0.0 0.0 0.0 0.0 4.0 0.0 μB/cell